<i>
This record from Alexandria via LeMat-Bulk describes a crystal of TlZn2Ir relaxed with PBEsol. The functional is SCAN.

Geometry as POSCAR:
```
TlZn2Ir
1.0
-0.8333 1.9829 -2.1459
-2.4109 0.7923 1.6705
4.0923 5.3602 3.3639
Ir Tl Zn
1 1 2
Cartesian
0.4241 4.0677 1.4443
-1.6221 1.3876 -0.2377
1.2752 1.6702 1.0482
2.8172 3.6899 2.3157
```

Results
Its crystal system is tetragonal. Its total magnetization is 0.000 μB/cell. Its space group is P4/mmm. The calculation puts the density of states at the Fermi level at 1.24 states/eV/cell.

***

<ii>
This record from Alexandria via LeMat-Bulk describes a crystal of TlZn2Ir relaxed with PBEsol. The functional is SCAN.

Geometry as POSCAR:
```
TlZn2Ir
1.0
4.4937 0.0000 0.0000
2.2468 3.8916 0.0000
2.2468 1.2972 3.6691
Ir Tl Zn
1 1 2
Cartesian
4.4937 2.5944 1.8345
2.2468 1.2972 0.9173
0.0000 0.0000 0.0000
6.7405 3.8916 2.7518
```

Results
Its crystal system is cubic. Its total magnetization is 0.000 μB/cell. Its space group is F-43m. The calculation puts the density of states at the Fermi level at 1.41 states/eV/cell.

***

Bottom line: <i>, by a margin of 0.319 eV/atom.

***

<i>
This record from Alexandria via LeMat-Bulk describes a crystal of Ir5W relaxed with PBEsol. The functional is SCAN.

Geometry as POSCAR:
```
Ir5W
1.0
-1.0580 0.3241 -2.5124
-3.6662 -2.0231 1.2828
-2.2381 6.1038 3.2299
Ir W
5 1
Cartesian
-0.0041 0.0093 0.0029
-1.4507 2.2491 -0.5988
-1.8431 4.1736 1.3146
-2.6578 -0.1799 -0.4039
-3.0656 1.7793 1.5205
-4.5220 4.0413 0.9257
```

Results
Its crystal system is orthorhombic. Its total magnetization is 0.000 μB/cell. Its space group is Amm2. The calculation puts the density of states at the Fermi level at 4.19 states/eV/cell.

***

<ii>
This record from Alexandria via LeMat-Bulk describes a crystal of Ir5W relaxed with PBEsol. The functional is SCAN.

Geometry as POSCAR:
```
Ir5W
1.0
2.7422 0.0000 0.0000
-1.3711 4.9960 -0.0002
0.0000 -1.5772 6.2607
Ir W
5 1
Cartesian
0.0000 -1.5667 6.2568
0.0000 3.4313 1.6955
1.3711 1.1528 2.0900
0.0000 -0.3925 3.8539
0.0000 2.2613 4.1822
1.3711 0.7251 5.9207
```

Results
Its crystal system is monoclinic. Its total magnetization is 0.000 μB/cell. Its space group is Cm. The calculation puts the density of states at the Fermi level at 4.80 states/eV/cell.

***

Bottom line: <i>, by a margin of 0.028 eV/atom.

***

<i>
This record from Alexandria via LeMat-Bulk describes a crystal of ZrIr2W relaxed with PBEsol. The functional is SCAN.

Geometry as POSCAR:
```
ZrIr2W
1.0
2.8280 0.0000 0.0000
0.0000 4.7680 0.0000
0.0000 0.0000 4.7680
Ir W Zr
2 1 1
Cartesian
0.0000 0.0000 2.3840
0.0000 2.3840 0.0000
1.4140 2.3840 2.3840
1.4140 0.0000 0.0000
```

Results
Its crystal system is tetragonal. Its total magnetization is 0.000 μB/cell. Its space group is P4/mmm. The calculation puts the density of states at the Fermi level at 3.12 states/eV/cell.

***

<ii>
This record from Alexandria via LeMat-Bulk describes a crystal of ZrIr2W relaxed with PBEsol. The functional is SCAN.

Geometry as POSCAR:
```
ZrIr2W
1.0
-1.1649 -0.5534 2.4879
-2.7758 -2.1754 -3.3619
3.3015 -3.5817 0.7491
Ir W Zr
2 1 1
Cartesian
0.1778 -4.0998 0.7494
-0.8170 -2.2107 -0.8743
1.6507 -1.7908 0.3746
-0.5825 -0.2767 1.2439
```

Results
Its crystal system is monoclinic. Its total magnetization is 0.000 μB/cell. Its space group is C2/m. The calculation puts the density of states at the Fermi level at 3.69 states/eV/cell.

***

Bottom line: <i>, by a margin of 0.202 eV/atom.

***

<i>
This record from Alexandria via LeMat-Bulk describes a crystal of Y5Ir3 relaxed with PBEsol. The functional is SCAN.

Geometry as POSCAR:
```
Y5Ir3
1.0
6.1243 0.0000 0.0000
0.0000 8.2253 0.0000
0.0000 -4.1127 7.1233
Ir Y
6 10
Cartesian
1.5311 -1.6045 2.7790
4.5932 -2.5082 4.3443
1.5311 2.5082 4.3443
4.5932 5.0164 0.0000
4.5932 1.6045 2.7790
1.5311 3.2089 0.0000
4.5932 -1.0698 1.8530
1.5311 -3.0428 5.2703
4.5932 3.0428 5.2703
1.5311 6.0856 0.0000
0.0000 4.1127 2.3744
3.0621 4.1127 2.3744
0.0000 0.0000 4.7489
3.0621 0.0000 4.7489
1.5311 1.0698 1.8530
4.5932 2.1397 0.0000
```

Results
Its crystal system is hexagonal. Its total magnetization is 0.000 μB/cell. Its space group is P6_3/mcm. The calculation puts the density of states at the Fermi level at 9.69 states/eV/cell.

***

<ii>
This record from Alexandria via LeMat-Bulk describes a crystal of Y5Ir3 relaxed with PBEsol. The functional is SCAN.

Geometry as POSCAR:
```
Y5Ir3
1.0
5.9445 0.0000 0.0000
2.9723 7.7180 0.0000
2.9723 0.0000 7.7180
Ir Y
6 10
Cartesian
1.4861 0.0000 0.0000
4.4584 0.0000 0.0000
8.9168 3.8590 6.2795
2.9723 3.8590 1.4385
5.9445 6.2795 3.8590
5.9445 1.4385 3.8590
4.4584 3.8590 3.8590
7.4306 3.8590 3.8590
8.9168 6.7319 2.2567
2.9723 0.9861 5.4612
5.9445 2.2567 6.7319
5.9445 5.4612 0.9861
8.9168 6.7319 5.4612
2.9723 0.9861 2.2567
5.9445 2.2567 0.9861
5.9445 5.4612 6.7319
```

Results
Its crystal system is tetragonal. Its total magnetization is 0.000 μB/cell. Its space group is I4/mcm. The calculation puts the density of states at the Fermi level at 10.51 states/eV/cell.

***

Bottom line: <i>, by a margin of 0.031 eV/atom.

***

<i>
This record from Alexandria via LeMat-Bulk describes a crystal of K relaxed with PBEsol. The functional is SCAN.

Geometry as POSCAR:
```
K
1.0
-1.5040 4.0052 1.7251
0.7263 -3.5925 2.8062
3.5793 2.1762 -1.9320
K
1
Cartesian
1.0376 3.0907 -0.1035
```

Results
Its crystal system is cubic. Its total magnetization is 0.007 μB/cell. Its space group is Fm-3m. The calculation puts the density of states at the Fermi level at 0.71 states/eV/cell.

***

<ii>
This record from Alexandria via LeMat-Bulk describes a crystal of K relaxed with PBEsol. The functional is SCAN.

Geometry as POSCAR:
```
K
1.0
19.5803 0.0000 0.0000
-6.5268 18.4605 0.0000
-6.5268 -9.2303 15.9873
K
81
Cartesian
0.0000 0.0000 0.0000
11.8544 5.4630 6.5250
-5.3277 3.7672 9.4622
5.3277 10.0782 1.4686
1.1991 -0.8479 14.5187
-1.1991 12.1496 7.9936
7.7259 -2.9193 7.9936
9.1592 7.3688 3.2241
-2.6325 1.8614 12.7632
2.6325 11.9840 4.7695
3.8943 -2.7537 11.2177
-3.8943 8.3380 7.9936
10.4211 0.8923 7.9936
-4.0645 11.4961 0.0000
2.4623 3.4822 6.0314
-4.0645 -5.7480 9.9559
12.1935 0.0000 0.0000
-2.4623 6.9644 0.0000
4.0645 5.7480 9.9559
-2.4623 -3.4822 6.0314
7.3869 0.0000 0.0000
5.8091 5.3301 14.3215
0.7176 3.9001 1.6658
-3.0889 -7.2536 14.3215
9.6157 16.4839 1.6658
12.3359 -5.8376 13.4426
-5.8091 15.0678 2.5447
3.4378 0.4543 2.5447
3.0889 8.7760 13.4426
-0.7176 0.5075 4.2105
7.2444 8.7228 11.7768
-9.6157 6.7993 15.1083
16.1425 2.4309 0.8789
4.4986 1.7347 13.3157
2.0282 7.4955 2.6716
-0.1360 -4.8195 13.3157
6.6628 14.0498 2.6716
11.0254 -3.1689 10.8317
-4.4986 12.3991 5.1555
6.3908 0.1083 5.1555
0.1360 9.1220 10.8317
-2.0282 1.4341 7.8271
8.5549 7.7961 8.1602
-6.6627 4.7113 13.5033
13.1895 4.5190 2.4840
9.0011 4.1739 11.0477
-2.4744 5.0563 4.9396
-7.4616 8.5829 11.0477
13.9884 0.6474 4.9396
-4.0524 -2.4243 14.0781
10.5792 11.6545 1.9091
5.5920 4.6015 1.9091
0.9348 4.6287 14.0781
2.4744 -1.7496 6.8487
4.0524 10.9799 9.1385
-0.9348 14.5064 3.0305
7.4616 -5.2761 12.9568
5.8358 -1.5280 15.6007
4.9862 7.7211 5.6471
-0.9093 -1.9555 10.3401
3.1409 14.2230 0.3866
12.3626 -3.5163 6.8636
-1.5406 9.7094 3.8631
5.6175 1.2532 9.1236
-3.3859 11.0142 12.1242
-0.6910 5.0443 9.5102
11.5129 10.2603 6.4770
-7.4361 0.7023 12.5108
9.6676 2.4536 3.4765
0.6910 10.7583 0.3866
1.5406 1.5092 10.3401
7.4361 11.1858 5.6471
3.3859 -4.9927 15.6007
-5.8358 12.7466 9.1236
8.0674 -0.4791 12.1242
0.9093 7.9770 6.8636
9.9127 -1.7840 3.8631
7.2177 4.1859 6.4770
-4.9862 -1.0300 9.5102
13.9629 8.5279 3.4765
-3.1409 6.7767 12.5108
```

Results
Its crystal system is cubic. Its total magnetization is 0.072 μB/cell. Its space group is Im-3. The calculation puts the density of states at the Fermi level at 57.38 states/eV/cell.

***

<iii>
This record from Alexandria via LeMat-Bulk describes a crystal of K relaxed with PBEsol. The functional is SCAN.

Geometry as POSCAR:
```
K
1.0
-4.1900 2.8028 6.5303
-4.3186 -7.0246 0.2440
5.6435 -3.2946 5.0351
K
8
Cartesian
-1.4326 -3.7583 5.9047
-0.4172 -6.9158 2.7005
1.7421 -3.4035 2.5785
2.1376 -1.0696 7.0414
-5.3018 -1.4102 5.0197
-3.2068 -2.8116 1.7546
0.0000 0.0000 0.0000
-0.6841 0.5777 4.5239
```

Results
Its crystal system is cubic. Its total magnetization is 0.000 μB/cell. Its space group is Pm-3n. The calculation puts the density of states at the Fermi level at 5.54 states/eV/cell.

***

Bottom line: <i>, by a margin of 0.011 eV/atom.

***

<i>
This record from Alexandria via LeMat-Bulk describes a crystal of K relaxed with PBEsol. The functional is SCAN.

Geometry as POSCAR:
```
K
1.0
4.6176 0.0000 0.0000
-2.3088 3.9989 0.0000
0.0000 0.0000 11.3116
K
3
Cartesian
-1.5564 2.6958 9.4263
3.1128 0.0000 5.6558
0.7524 1.3032 1.8853
```

Results
Its crystal system is trigonal. Its total magnetization is 0.021 μB/cell. Its space group is P3_121. The calculation puts the density of states at the Fermi level at 2.12 states/eV/cell.

***

<ii>
This record from Alexandria via LeMat-Bulk describes a crystal of K relaxed with PBEsol. The functional is SCAN.

Geometry as POSCAR:
```
K
1.0
-3.2835 2.1424 2.1193
0.5656 -4.3031 1.0131
6.4459 3.1192 4.2541
K
2
Cartesian
2.3902 0.4224 5.8559
1.3378 0.5362 1.5306
```

Results
Its crystal system is orthorhombic. Its total magnetization is 0.019 μB/cell. Its space group is Fmmm. The calculation puts the density of states at the Fermi level at 1.42 states/eV/cell.

***

<iii>
This record from Alexandria via LeMat-Bulk describes a crystal of K relaxed with PBEsol. The functional is SCAN.

Geometry as POSCAR:
```
K
1.0
-3.9327 -1.6947 -1.1681
1.5618 -7.9007 -2.2291
-3.1991 -3.2427 7.0420
K
4
Cartesian
0.6417 -6.0613 -1.8001
-2.8480 -8.6822 1.1014
-3.0125 -3.5342 -1.5971
-4.6882 -5.0033 1.9594
```

Results
Its crystal system is orthorhombic. Its total magnetization is 0.051 μB/cell. Its space group is Fddd. The calculation puts the density of states at the Fermi level at 2.91 states/eV/cell.

***

Bottom line: <i>, by a margin of 0.034 eV/atom.

***

<i>
This record from Alexandria via LeMat-Bulk describes a crystal of KLaMg2 relaxed with PBEsol. The functional is SCAN.

Geometry as POSCAR:
```
KLaMg2
1.0
-3.1244 1.0090 -0.7240
-1.7285 -5.9179 -0.7881
0.6111 1.0992 6.7014
K La Mg
1 1 2
Cartesian
-2.5648 -2.7147 -0.5217
-2.3111 0.1013 2.3080
-2.5083 1.8648 5.6166
-1.7973 -3.4073 3.0079
```

Results
Its crystal system is monoclinic. Its total magnetization is 0.317 μB/cell. Its space group is Cm. The calculation puts the density of states at the Fermi level at 2.78 states/eV/cell.

***

<ii>
This record from Alexandria via LeMat-Bulk describes a crystal of KLaMg2 relaxed with PBEsol. The functional is SCAN.

Geometry as POSCAR:
```
KLaMg2
1.0
3.5382 0.0000 0.0000
0.0000 3.5382 0.0000
0.0000 0.0000 10.7900
K La Mg
1 1 2
Cartesian
0.0000 0.0000 5.0877
1.7691 1.7691 8.7541
0.0000 0.0000 0.2585
1.7691 1.7691 2.0846
```

Results
Its crystal system is tetragonal. Its total magnetization is 0.156 μB/cell. Its space group is P4mm. The calculation puts the density of states at the Fermi level at 2.91 states/eV/cell.

***

Bottom line: <ii>, by a margin of 0.007 eV/atom.

***

<i>
This record from Alexandria via LeMat-Bulk describes a crystal of KLa2Os relaxed with PBEsol. The functional is SCAN.

Geometry as POSCAR:
```
KLa2Os
1.0
4.2083 0.0000 0.0000
-2.1041 3.6465 -0.0454
0.0000 -2.2751 10.3523
K Os La
1 1 2
Cartesian
0.0000 -1.1376 5.1761
2.1041 0.0000 0.0000
2.1041 0.1385 8.8860
0.0000 1.2329 1.4209
```

Results
Its crystal system is monoclinic. Its total magnetization is 0.000 μB/cell. Its space group is C2/m. The calculation puts the density of states at the Fermi level at 2.36 states/eV/cell.

***

<ii>
This record from Alexandria via LeMat-Bulk describes a crystal of KLa2Os relaxed with PBEsol. The functional is SCAN.

Geometry as POSCAR:
```
KLa2Os
1.0
3.5234 0.0374 0.0000
-0.0386 3.5234 0.0000
0.0000 0.0000 11.0236
K La Os
1 2 1
Cartesian
1.7424 1.7804 0.0000
0.0000 0.0000 3.8159
0.0000 0.0000 7.2076
1.7424 1.7804 5.5118
```

Results
Its crystal system is tetragonal. Its total magnetization is 0.000 μB/cell. Its space group is P4/mmm. The calculation puts the density of states at the Fermi level at 2.89 states/eV/cell.

***

<iii>
This record from Alexandria via LeMat-Bulk describes a crystal of KLa2Os relaxed with PBEsol. The functional is SCAN.

Geometry as POSCAR:
```
KLa2Os
1.0
-0.6187 -3.2086 2.3445
1.4346 -5.1356 -3.2003
5.4701 -2.7131 1.1799
K La Os
1 2 1
Cartesian
3.4523 -3.9244 -1.0102
5.5170 -6.9928 -1.2153
0.7691 -4.0645 1.5394
-0.3093 -1.6043 1.1723
```

Results
Its crystal system is orthorhombic. Its total magnetization is 0.000 μB/cell. Its space group is Immm. The calculation puts the density of states at the Fermi level at 2.35 states/eV/cell.

***

Bottom line: <i>, by a margin of 0.091 eV/atom.